(1)
Nb2AsW2: optimized geometry, PBE.

Cell lengths 7.4969, 7.4969, 3.2975 Å; angles 90.00, 90.00, 90.00 degrees
With the nearest neighbours (Å) after each atom.
Sites, in units of the cell vectors:
Nb 0.1887 0.3113 0.0000  6 W 2.67-2.86
Nb 0.3113 0.8113 0.0000  6 W 2.67-2.86
Nb 0.6887 0.1887 0.0000  6 W 2.67-2.86
Nb 0.8113 0.6887 0.0000  6 W 2.67-2.86
As 0.0000 0.0000 0.5000  4 W 3.02, 8 Nb 3.19, 2 As 3.30
As 0.5000 0.5000 0.5000  4 W 3.02, 8 Nb 3.19, 2 As 3.30
W 0.1130 0.6130 0.5000  1 W 2.40, 2 Nb 2.67
W 0.3870 0.1130 0.5000  1 W 2.40, 2 Nb 2.67
W 0.6130 0.8870 0.5000  1 W 2.40, 2 Nb 2.67
W 0.8870 0.3870 0.5000  1 W 2.40, 2 Nb 2.67

Properties
ΔE_f	0.6237	eV per atom
energy	-9.5154	eV per atom
ΔE to the lowest computed polymorph	0	meV/atom

***

(2)
NbAsW: optimized geometry, PBE.

Cell lengths 3.2357, 5.0954, 5.0954 Å; angles 38.24, 90.00, 90.00 degrees
With the nearest neighbours (Å) after each atom.
Sites, in units of the cell vectors:
Nb 0.0000 0.0000 0.0000  3 As 2.60-2.83, 4 W 2.87
As 0.0000 0.7065 0.7065  4 W 2.59, 3 Nb 2.60-2.83
W 0.5000 0.3260 0.3260  4 As 2.59, 4 Nb 2.87

Properties
ΔE_f	-0.0559	eV per atom
energy	-9.2801	eV per atom
ΔE to the lowest computed polymorph	40	meV/atom

***

(3)
NbAsW: optimized geometry, PBE.

Cell lengths 3.1227, 3.1227, 6.4640 Å; angles 110.30, 110.30, 63.47 degrees
With the nearest neighbours (Å) after each atom.
Sites, in units of the cell vectors:
Nb 0.0000 0.0000 0.0000  3 As 2.65-2.69, 2 W 2.71
As 0.1748 0.1748 0.6700  3 W 2.54-2.58, 3 Nb 2.65-2.69
W 0.6848 0.6848 0.3649  3 As 2.54-2.58, 2 Nb 2.71

Properties
ΔE_f	-0.0811	eV per atom
energy	-9.3053	eV per atom
ΔE to the lowest computed polymorph	15	meV/atom